The following is a PBE calculation of a geometry-optimized NaCeSiS4 structure, from Alexandria via LeMat-Bulk.

As for the space group: No. 11. The total DFT energy (no corrections) is -5.47 eV per atom. The volume is 335.6 Å³/cell.

a = 6.532 Å, b = 6.567 Å, c = 8.105 Å
α = 90.00°, β = 105.15°, γ = 90.00°
Sites, in units of the cell vectors:
Na: 0.250 0.250 0.058
Na: 0.750 0.750 0.942
Ce: 0.229 0.250 0.554
Ce: 0.771 0.750 0.446
Si: 0.229 0.750 0.305
Si: 0.771 0.250 0.695
S: 0.015 0.001 0.259
S: 0.015 0.499 0.259
S: 0.395 0.750 0.570
S: 0.434 0.750 0.143
S: 0.566 0.250 0.857
S: 0.605 0.250 0.430
S: 0.985 0.501 0.741
S: 0.985 0.999 0.741

The following is a PBE calculation of a geometry-optimized NaCeSm4S8 structure, from Alexandria via LeMat-Bulk.

As for the space group: No. 160. The total DFT energy (no corrections) is -6.13 eV per atom. The volume is 403.8 Å³/cell.

a = 8.325 Å, b = 8.325 Å, c = 8.325 Å
α = 59.55°, β = 59.55°, γ = 59.55°
Sites, in units of the cell vectors:
Na: 0.000 0.000 0.000
Ce: 0.629 0.629 0.629
Sm: 0.113 0.630 0.630
Sm: 0.251 0.251 0.251
Sm: 0.630 0.113 0.630
Sm: 0.630 0.630 0.113
S: 0.381 0.381 0.853
S: 0.381 0.853 0.381
S: 0.384 0.384 0.384
S: 0.409 0.865 0.865
S: 0.853 0.381 0.381
S: 0.865 0.409 0.865
S: 0.865 0.865 0.409
S: 0.865 0.865 0.865

The following is a PBE calculation of a geometry-optimized Na3Ce2SmS6 structure, from Alexandria via LeMat-Bulk.

As for the space group: No. 12. The total DFT energy (no corrections) is -5.54 eV per atom. The volume is 294.0 Å³/cell.

a = 7.136 Å, b = 7.136 Å, c = 7.078 Å
α = 99.68°, β = 99.68°, γ = 120.00°
Sites, in units of the cell vectors:
Na: 0.000 0.000 0.000
Na: 0.334 0.666 0.000
Na: 0.666 0.334 0.000
Ce: 0.167 0.833 0.500
Ce: 0.833 0.167 0.500
Sm: 0.500 0.500 0.500
S: 0.091 0.423 0.268
S: 0.246 0.246 0.732
S: 0.423 0.091 0.268
S: 0.577 0.909 0.732
S: 0.754 0.754 0.268
S: 0.909 0.577 0.732